# Eu2Ga4Co | Alexandria via LeMat-Bulk | PBE | relaxed
data_Eu2Ga4Co
_space_group_name_H-M_alt 'P 1'
_space_group_IT_number 1
_space_group_name_Hall 'P 1'
_cell_length_a 8.472
_cell_length_b 8.472
_cell_length_c 8.472
_cell_angle_alpha 148.90
_cell_angle_beta 148.90
_cell_angle_gamma 44.55
loop_
_atom_site_label
_atom_site_type_symbol
_atom_site_fract_x
_atom_site_fract_y
_atom_site_fract_z
Eu1 Eu 0.152 0.152 0.000
Eu2 Eu 0.848 0.848 0.000
Ga1 Ga 0.000 0.500 0.500
Ga2 Ga 0.349 0.349 0.000
Ga3 Ga 0.500 0.000 0.500
Ga4 Ga 0.651 0.651 0.000
Co1 Co 0.500 0.500 0.000
# Formation enthalpy at 0 K ... -0.3531 eV per atom
# SG ... I4/mmm, No. 139
# Fermi-level density of states ... 17.16 states/eV/f.u.
# Electronic total energy ... -0.2217 Ha/atom